(1)
This record from Alexandria describes an optimized crystal structure of K2LaFe. The functional is PBE.

Structure (extended XYZ):
```
4
Lattice="3.4973 0.0000 0.0000 0.0000 3.4973 0.0000 0.0000 0.0000 12.4848" Properties=species:S:1:pos:R:3 pbc="T T T"
K 0.0000 0.0000 2.5142
K 0.0000 0.0000 9.9706
La 1.7486 1.7486 6.2424
Fe 1.7486 1.7486 0.0000
```

## Properties
* E_form: 950 meV/atom
* V: 38.2 A^3/atom
* relative energy among the computed polymorphs: 192 kJ/mol of formula units

---

(2)
This record from Alexandria describes an optimized crystal structure of AgTeS. The functional is PBE.

Structure (extended XYZ):
```
6
Lattice="4.8311 0.0000 0.0000 2.0247 4.9960 0.0000 1.8430 0.0579 6.4237" Properties=species:S:1:pos:R:3 pbc="T T T"
Ag 0.0000 0.0000 0.0000
Ag 2.6443 1.6412 1.3505
Te 2.8887 2.3900 5.3387
Te 5.7701 3.2631 3.0144
S 4.5175 4.0718 0.8616
S 4.3563 1.3187 3.4898
```

## Properties
* V: 25.8 A^3/atom
* raw formation energy: 0.0602 eV per atom
* relative energy among the computed polymorphs: 0 kJ/mol of formula units

---

(3)
This record from Alexandria describes an optimized crystal structure of MgPd2Rh. The functional is PBE.

Structure (extended XYZ):
```
4
Lattice="3.9528 0.0000 0.0000 0.0000 3.9528 0.0000 0.0000 0.0000 3.9119" Properties=species:S:1:pos:R:3 pbc="T T T"
Mg 0.0000 0.0000 0.0000
Pd 0.0000 1.9764 1.9560
Pd 1.9764 0.0000 1.9560
Rh 1.9764 1.9764 0.0000
```

## Properties
* E_form: -326 meV/atom
* V: 15.3 A^3/atom

---

(4)
This record from Alexandria describes an optimized crystal structure of CaTe5Pb4. The functional is PBE.

Structure (extended XYZ):
```
10
Lattice="-2.3042 3.2636 11.5669 2.3042 -3.2636 11.5669 2.3042 3.2636 -11.5669" Properties=species:S:1:pos:R:3 pbc="T T T"
Ca 0.0000 0.0000 0.0000
Te 2.3042 0.0000 2.2417
Te 2.3042 0.0000 6.9267
Te 0.0000 3.2636 0.0000
Te 0.0000 3.2636 4.6402
Te 0.0000 3.2636 9.3252
Pb 0.0000 0.0000 4.6071
Pb 0.0000 0.0000 9.2610
Pb 0.0000 0.0000 13.8728
Pb 0.0000 0.0000 18.5267
```

## Properties
* V: 34.8 A^3/atom
* raw formation energy: -0.6485 eV per atom

---

(5)
This record from Alexandria describes an optimized crystal structure of SrMgBr4. The functional is PBE.

Structure (extended XYZ):
```
6
Lattice="6.9801 0.0000 0.0000 0.0000 4.1995 0.0000 -0.4739 0.0000 7.4225" Properties=species:S:1:pos:R:3 pbc="T T T"
Sr 0.0000 0.0000 0.0000
Mg -0.2370 2.0997 3.7112
Br 1.3242 0.0000 2.7598
Br 1.2015 2.0997 6.0010
Br 5.3047 2.0997 1.4214
Br 5.1820 0.0000 4.6627
```

## Properties
* V: 36.3 A^3/atom
* raw formation energy: -1.7572 eV per atom
* relative energy among the computed polymorphs: 0 kJ/mol of formula units

---

(6)
This record from Alexandria describes an optimized crystal structure of InAgBr2. The functional is PBE.

Structure (extended XYZ):
```
4
Lattice="3.7133 0.0000 0.0000 0.0000 3.7133 0.0000 0.0000 0.0000 7.8245" Properties=species:S:1:pos:R:3 pbc="T T T"
In 0.0000 0.0000 0.0000
Ag 0.0000 0.0000 3.9123
Br 1.8566 1.8566 2.1535
Br 1.8566 1.8566 5.6710
```

## Properties
* V: 27.0 A^3/atom
* raw formation energy: -0.3430 eV per atom
* relative energy among the computed polymorphs: 47 kJ/mol of formula units

---

(7)
This record from Alexandria describes an optimized crystal structure of PuCo3Ge2. The functional is PBE.

Structure (extended XYZ):
```
12
Lattice="7.4305 -1.9076 0.0000 7.4305 1.9076 0.0000 -3.1029 0.0000 6.4770" Properties=species:S:1:pos:R:3 pbc="T T T"
Pu 2.0246 0.0000 0.4147
Pu 9.7335 0.0000 6.0622
Co -0.6382 0.0000 2.4922
Co 2.9485 0.0000 3.5459
Co 5.0807 0.0000 2.2950
Co 6.6774 0.0000 4.1820
Co 8.8096 0.0000 2.9311
Co 12.3963 0.0000 3.9848
Ge 0.7262 0.0000 4.4056
Ge 4.5703 0.0000 5.2371
Ge 7.1877 0.0000 1.2399
Ge 11.0318 0.0000 2.0714
```

## Properties
* E_form: -270 meV/atom
* V: 15.3 A^3/atom

---

(8)
This record from Alexandria describes an optimized crystal structure of Pm7Cu2Hg2. The functional is PBE.

Structure (extended XYZ):
```
11
Lattice="4.0003 -5.6815 0.0000 4.0003 5.6815 0.0000 0.0000 0.0000 7.2857" Properties=species:S:1:pos:R:3 pbc="T T T"
Pm 0.0000 0.0000 0.0000
Pm 2.0002 2.8408 1.8933
Pm 2.0002 2.8408 5.3924
Pm 2.0002 -2.8408 1.8933
Pm 2.0002 -2.8408 5.3924
Pm 4.0003 0.0000 1.7862
Pm 4.0003 0.0000 5.4995
Cu 4.0003 2.3049 0.0000
Cu 4.0003 -2.3049 0.0000
Hg 1.4240 0.0000 3.6429
Hg 6.5767 0.0000 3.6429
```

## Properties
* E_form: -50 meV/atom
* V: 30.1 A^3/atom

---

(9)
This record from Alexandria describes an optimized crystal structure of NdGa4CuAg2. The functional is PBE.

Structure (extended XYZ):
```
8
Lattice="2.2371 1.2916 8.6845 -2.2371 1.2916 8.6845 0.0000 -2.5832 8.6845" Properties=species:S:1:pos:R:3 pbc="T T T"
Nd 0.0000 0.0000 0.0000
Ga 0.0000 0.0000 3.3961
Ga 0.0000 0.0000 10.3827
Ga 0.0000 0.0000 15.6707
Ga 0.0000 0.0000 22.6573
Cu 0.0000 0.0000 13.0267
Ag 0.0000 0.0000 6.2948
Ag 0.0000 0.0000 19.7586
```

## Properties
* E_form: -205 meV/atom
* V: 18.8 A^3/atom

---

(10)
This record from Alexandria describes an optimized crystal structure of Nd6Dy3Y2. The functional is PBE.

Structure (extended XYZ):
```
11
Lattice="1.8138 1.0472 32.3780 -1.8138 1.0472 32.3780 0.0000 -2.0944 32.3780" Properties=species:S:1:pos:R:3 pbc="T T T"
Nd 0.0000 0.0000 8.7757
Nd 0.0000 0.0000 17.7054
Nd 0.0000 0.0000 35.3041
Nd 0.0000 0.0000 61.8300
Nd 0.0000 0.0000 79.4287
Nd 0.0000 0.0000 88.3584
Dy 0.0000 0.0000 0.0000
Dy 0.0000 0.0000 26.5280
Dy 0.0000 0.0000 70.6061
Y 0.0000 0.0000 44.0970
Y 0.0000 0.0000 53.0371
```

## Properties
* E_form: 12 meV/atom
* V: 33.5 A^3/atom
* relative energy among the computed polymorphs: 0 kJ/mol of formula units

---

(11)
This record from Alexandria describes an optimized crystal structure of PrNd2I. The functional is PBE.

Structure (extended XYZ):
```
4
Lattice="1.9247 1.1112 10.8482 -1.9247 1.1112 10.8482 0.0000 -2.2225 10.8482" Properties=species:S:1:pos:R:3 pbc="T T T"
Pr 0.0000 0.0000 0.0000
Nd 0.0000 0.0000 7.9529
Nd 0.0000 0.0000 24.5917
I 0.0000 0.0000 16.2723
```

## Properties
* V: 34.8 A^3/atom
* raw formation energy: -0.4134 eV per atom
* relative energy among the computed polymorphs: 0 kJ/mol of formula units

---

(12)
This record from Alexandria describes an optimized crystal structure of Nd2CoGe3Pt4. The functional is PBE.

Structure (extended XYZ):
```
10
Lattice="4.3280 0.0000 0.0000 0.0000 4.3280 0.0000 0.0000 0.0000 10.1300" Properties=species:S:1:pos:R:3 pbc="T T T"
Nd 0.0000 2.1640 2.4566
Nd 2.1640 0.0000 7.6733
Co 2.1640 2.1640 0.0000
Ge 0.0000 0.0000 0.0000
Ge 0.0000 2.1640 6.4145
Ge 2.1640 0.0000 3.7155
Pt 0.0000 0.0000 5.0650
Pt 0.0000 2.1640 8.8649
Pt 2.1640 0.0000 1.2651
Pt 2.1640 2.1640 5.0650
```

## Properties
* E_form: -812 meV/atom
* V: 19.0 A^3/atom

---

Q: What is the formula in the fourth record?
A: CaTe5Pb4

---

What did the first record say?
This record from Alexandria describes an optimized crystal structure of K2LaFe. The functional is PBE.

Structure (extended XYZ):
```
4
Lattice="3.4973 0.0000 0.0000 0.0000 3.4973 0.0000 0.0000 0.0000 12.4848" Properties=species:S:1:pos:R:3 pbc="T T T"
K 0.0000 0.0000 2.5142
K 0.0000 0.0000 9.9706
La 1.7486 1.7486 6.2424
Fe 1.7486 1.7486 0.0000
```

## Properties
* E_form: 950 meV/atom
* V: 38.2 A^3/atom
* relative energy among the computed polymorphs: 192 kJ/mol of formula units